[1]
DFT (PBE) results for Dy3Mg3Ag2 after structural relaxation.

The excess energy over the best structure of this formula in the dataset is 0 meV/atom. As for the space group: P-62m (189). For the calculated total energy, the calculation gives -25.6 eV per cell. The value obtained for the formation energy is -0.17 eV/atom. As for the calculated volume: 204.2 Å³/cell.

Unit cell a=7.8953 b=7.8953 c=3.7817 alpha=90.00 beta=90.00 gamma=120.00
Positions (direct):
Dy (0.0000, 0.5835, 0.0000)
Dy (0.4165, 0.4165, 0.0000)
Dy (0.5835, 0.0000, 0.0000)
Mg (0.0000, 0.2300, 0.5000)
Mg (0.2300, 0.0000, 0.5000)
Mg (0.7700, 0.7700, 0.5000)
Ag (0.3333, 0.6667, 0.5000)
Ag (0.6667, 0.3333, 0.5000)

***

[2]
DFT (PBE) results for BiAsC after structural relaxation.

The excess energy over the best structure of this formula in the dataset is 45 meV/atom. As for the space group: C2 (5). For the calculated total energy, the calculation gives -32.2 eV per cell. The value obtained for the formation energy is 0.55 eV/atom. As for the calculated volume: 172.0 Å³/cell.

Unit cell a=5.3874 b=5.3874 c=6.9509 alpha=110.75 beta=110.75 gamma=71.35
Positions (direct):
Bi (0.1871, 0.1871, 0.1565)
Bi (0.8129, 0.8129, 0.8435)
As (0.2362, 0.3306, 0.8208)
As (0.6694, 0.7638, 0.1792)
C (0.0143, 0.1203, 0.5835)
C (0.8797, 0.9857, 0.4165)

***

[3]
DFT (PBE) results for CrFeP2 after structural relaxation.

The excess energy over the best structure of this formula in the dataset is 291 meV/atom. As for the space group: P4/mmm (123). For the calculated total energy, the calculation gives -30.0 eV per cell. The value obtained for the formation energy is -0.27 eV/atom. As for the calculated volume: 43.6 Å³/cell.

Unit cell a=3.9531 b=3.9531 c=2.7928 alpha=90.00 beta=90.00 gamma=90.00
Positions (direct):
Cr (0.0000, 0.0000, 0.0000)
Fe (0.5000, 0.5000, 0.0000)
P (0.0000, 0.5000, 0.5000)
P (0.5000, 0.0000, 0.5000)

***

[4]
DFT (PBE) results for PaAl4Tl after structural relaxation.

As for the space group: F-43m (216). For the calculated total energy, the calculation gives -26.6 eV per cell. The value obtained for the formation energy is 0.03 eV/atom. As for the calculated volume: 122.0 Å³/cell.

Unit cell a=5.5664 b=5.5664 c=5.5664 alpha=60.00 beta=60.00 gamma=60.00
Positions (direct):
Pa (0.0000, 0.0000, 0.0000)
Al (0.3746, 0.3746, 0.3746)
Al (0.3746, 0.3746, 0.8762)
Al (0.3746, 0.8762, 0.3746)
Al (0.8762, 0.3746, 0.3746)
Tl (0.7500, 0.7500, 0.7500)

***

[5]
DFT (PBE) results for BeAg2SbO4 after structural relaxation.

Its raw formation energy is -1.06 eV/atom. As for the space group: I-4 (82). For the calculated total energy, the calculation gives -41.9 eV per cell. As for the calculated volume: 109.5 Å³/cell.

Unit cell a=5.5145 b=5.5145 c=5.5145 alpha=124.47 beta=124.47 gamma=82.43
Positions (direct):
Be (0.0000, 0.0000, 0.0000)
Ag (0.5000, 0.5000, 0.0000)
Ag (0.7500, 0.2500, 0.5000)
Sb (0.2500, 0.7500, 0.5000)
O (0.1119, 0.7368, 0.0719)
O (0.2632, 0.3351, 0.3751)
O (0.6649, 0.0400, 0.9281)
O (0.9600, 0.8881, 0.6249)

***

[6]
DFT (PBE) results for Sm3TmAs4 after structural relaxation.

The excess energy over the best structure of this formula in the dataset is 3 meV/atom. As for the space group: Pm-3m (221). For the calculated total energy, the calculation gives -49.3 eV per cell. The value obtained for the formation energy is -1.51 eV/atom. As for the calculated volume: 206.2 Å³/cell.

Unit cell a=5.9077 b=5.9077 c=5.9077 alpha=90.00 beta=90.00 gamma=90.00
Positions (direct):
Sm (0.0000, 0.0000, 0.5000)
Sm (0.0000, 0.5000, 0.0000)
Sm (0.5000, 0.0000, 0.0000)
Tm (0.5000, 0.5000, 0.5000)
As (0.0000, 0.0000, 0.0000)
As (0.0000, 0.5000, 0.5000)
As (0.5000, 0.0000, 0.5000)
As (0.5000, 0.5000, 0.0000)

***

Q: Among the records above, which one has the lowest calculated total energy?
A: Sm3TmAs4

***

Q: Which of these has the lowest calculated volume?
A: CrFeP2

***

Q: Which of these has the lowest calculated volume?
A: CrFeP2

***

Q: The highest calculated total energy belongs to which entry?
A: Dy3Mg3Ag2